No. 1
VASP calculation (PBE) on crystalline ZrCdP at its relaxed geometry.

Structure (POSCAR):
```
ZrCdP
1.0
-1.701 1.701 5.441
1.701 -1.701 5.441
1.701 1.701 -5.441
Zr Cd P
1 1 1
Cartesian
0.000 0.000 0.000 Zr
0.000 0.000 3.160 Cd
0.000 0.000 6.470 P
```

Results
* ΔE to the lowest computed polymorph: 0 meV/atom
* DOS(E_F): 0.79 states/eV/atom
* E_form: -1.2 eV per formula unit
* size of the total moment: 0.000 μB per atom



No. 2
VASP calculation (PBE) on crystalline Tl2MoPb at its relaxed geometry.

Structure (POSCAR):
```
Tl2MoPb
1.0
-1.531 2.420 7.331
1.531 -2.420 7.331
1.531 2.420 -7.331
Tl Mo Pb
2 1 1
Cartesian
0.000 0.000 2.676 Tl
0.000 0.000 11.985 Tl
1.531 0.000 0.000 Mo
0.000 2.420 0.000 Pb
```

Results
* ΔE to the lowest computed polymorph: 37 meV/atom
* DOS(E_F): 0.97 states/eV/atom
* E_form: 2.1 eV per formula unit
* size of the total moment: 0.061 μB per atom



No. 3
VASP calculation (PBE) on crystalline CaMg2AlAu4 at its relaxed geometry.

Structure (POSCAR):
```
CaMg2AlAu4
1.0
2.319 1.339 8.379
-2.319 1.339 8.379
0.000 -2.678 8.379
Ca Mg Al Au
1 2 1 4
Cartesian
0.000 0.000 0.000 Ca
0.000 0.000 6.167 Mg
0.000 0.000 18.970 Mg
0.000 0.000 12.569 Al
0.000 0.000 3.310 Au
0.000 0.000 9.917 Au
0.000 0.000 15.221 Au
0.000 0.000 21.828 Au
```

Results
* DOS(E_F): 0.33 states/eV/atom
* E_form: -4.7 eV per formula unit
* size of the total moment: 0.000 μB per atom